Material: TcNCl2
Method: DFT, PBE
State: optimized geometry Values from VASP.

Summary:
The calculation puts the energy above the most stable polymorph in this dataset at 225 meV/atom. Its uncorrected formation energy is 1.59 eV/atom. As for the total energy: -16.03 eV per cell. For the volume, the calculation gives 13.4 Å³/atom.

The structure in Quantum ESPRESSO input format:
```
&SYSTEM
  ibrav = 0, nat = 4, ntyp = 3
/
ATOMIC_SPECIES
N 14.01 N.upf
Cl 35.45 Cl.upf
Tc 98.00 Tc.upf
CELL_PARAMETERS angstrom
-2.557 -2.945 1.643
-2.954 1.100 2.824
-4.092 -0.087 -1.076
ATOMIC_POSITIONS crystal
N 0.000 0.000 0.000
Cl 0.750 0.750 0.750
Cl 0.250 0.250 0.250
Tc 0.500 0.500 0.500
```

Material: PmDy7Zn4
Method: DFT, PBE
State: optimized geometry Values from VASP.

Summary:
As for the total energy: -42.06 eV per cell. For the volume, the calculation gives 26.3 Å³/atom.

The structure in Quantum ESPRESSO input format:
```
&SYSTEM
  ibrav = 0, nat = 12, ntyp = 3
/
ATOMIC_SPECIES
Dy 162.50 Dy.upf
Zn 65.41 Zn.upf
Pm 145.00 Pm.upf
CELL_PARAMETERS angstrom
-1.366 2.129 -4.943
-8.387 2.531 0.289
-0.098 7.517 0.146
ATOMIC_POSITIONS crystal
Dy 0.208 0.120 0.463
Zn 0.540 0.270 0.650
Dy 0.278 0.672 0.772
Zn 0.679 0.662 0.979
Dy 0.792 0.880 0.537
Dy 0.929 0.407 0.735
Dy 0.722 0.328 0.228
Zn 0.321 0.338 0.021
Dy 0.500 0.000 0.000
Dy 0.071 0.593 0.265
Pm 0.000 0.000 0.000
Zn 0.460 0.730 0.350
```

Material: Fe2PbW
Method: DFT, PBE
State: optimized geometry Values from VASP.

Summary:
As for the total energy: -59.10 eV per cell. For the volume, the calculation gives 16.9 Å³/atom.

The structure in Quantum ESPRESSO input format:
```
&SYSTEM
  ibrav = 0, nat = 8, ntyp = 3
/
ATOMIC_SPECIES
Fe 55.84 Fe.upf
Pb 207.20 Pb.upf
W 183.84 W.upf
CELL_PARAMETERS angstrom
6.915 0.000 0.000
0.000 6.915 0.000
3.458 3.458 2.833
ATOMIC_POSITIONS crystal
Fe 0.175 0.625 0.250
Fe 0.375 0.425 0.750
Fe 0.575 0.125 0.250
Pb 0.750 0.250 0.500
W 0.500 0.500 0.000
Fe 0.875 0.825 0.750
Pb 0.000 0.000 0.000
W 0.250 0.750 0.500
```

Material: Pr3InIr8
Method: DFT, PBE
State: optimized geometry Values from VASP.

Summary:
As for the total energy: -93.78 eV per cell. For the volume, the calculation gives 18.8 Å³/atom.

The structure in Quantum ESPRESSO input format:
```
&SYSTEM
  ibrav = 0, nat = 12, ntyp = 3
/
ATOMIC_SPECIES
Ir 192.22 Ir.upf
Pr 140.91 Pr.upf
In 114.82 In.upf
CELL_PARAMETERS angstrom
5.421 0.000 0.000
2.711 4.695 0.000
2.711 1.565 8.863
ATOMIC_POSITIONS crystal
Ir 0.437 0.937 0.189
Ir 0.688 0.688 0.936
Ir 0.938 0.938 0.685
Ir 0.188 0.188 0.436
Ir 0.937 0.437 0.189
Pr 0.503 0.503 0.492
Pr 0.376 0.376 0.873
Pr 0.997 0.997 0.010
In 0.873 0.873 0.380
Ir 0.437 0.437 0.189
Ir 0.440 0.938 0.685
Ir 0.938 0.440 0.685
```

Material: Ho2Ga6Rh
Method: DFT, PBE
State: optimized geometry Values from VASP.

Summary:
As for the total energy: -39.94 eV per cell. For the volume, the calculation gives 18.5 Å³/atom.

The structure in Quantum ESPRESSO input format:
```
&SYSTEM
  ibrav = 0, nat = 9, ntyp = 3
/
ATOMIC_SPECIES
Ga 69.72 Ga.upf
Ho 164.93 Ho.upf
Rh 102.91 Rh.upf
CELL_PARAMETERS angstrom
5.721 -0.034 -0.020
0.026 5.802 0.008
0.026 2.898 5.026
ATOMIC_POSITIONS crystal
Ga 0.319 0.824 0.824
Ho 0.148 0.333 0.333
Ga 0.320 0.824 0.352
Ga 0.680 0.176 0.648
Ga 0.681 0.176 0.176
Ho 0.852 0.667 0.667
Ga 0.320 0.352 0.824
Ga 0.680 0.648 0.176
Rh 0.000 0.000 0.000
```

Material: K3TaPd2Se6
Method: DFT, PBE
State: optimized geometry Values from VASP.

Summary:
Its uncorrected formation energy is -0.66 eV/atom. As for the total energy: -54.34 eV per cell. For the volume, the calculation gives 25.4 Å³/atom.

The structure in Quantum ESPRESSO input format:
```
&SYSTEM
  ibrav = 0, nat = 12, ntyp = 4
/
ATOMIC_SPECIES
K 39.10 K.upf
Se 78.96 Se.upf
Ta 180.95 Ta.upf
Pd 106.42 Pd.upf
CELL_PARAMETERS angstrom
6.945 -0.063 0.017
-3.525 5.984 0.017
-1.122 -1.943 7.356
ATOMIC_POSITIONS crystal
K 0.172 0.828 0.500
Se 0.610 0.934 0.821
Se 0.390 0.066 0.179
K 0.828 0.172 0.500
Se 0.260 0.260 0.814
Ta 0.000 0.000 0.000
Se 0.066 0.390 0.179
K 0.500 0.500 0.500
Se 0.740 0.740 0.186
Pd 0.336 0.664 0.000
Pd 0.664 0.336 0.000
Se 0.934 0.610 0.821
```

Material: MnCoSe2
Method: DFT, PBE
State: optimized geometry Values from VASP.

Summary:
The calculation puts the energy above the most stable polymorph in this dataset at 466 meV/atom. Its uncorrected formation energy is 0.11 eV/atom. As for the total energy: -22.79 eV per cell. For the volume, the calculation gives 15.6 Å³/atom.

The structure in Quantum ESPRESSO input format:
```
&SYSTEM
  ibrav = 0, nat = 4, ntyp = 3
/
ATOMIC_SPECIES
Se 78.96 Se.upf
Co 58.93 Co.upf
Mn 54.94 Mn.upf
CELL_PARAMETERS angstrom
0.000 3.147 3.147
3.147 0.000 3.147
3.147 3.147 0.000
ATOMIC_POSITIONS crystal
Se 0.250 0.250 0.250
Co 0.500 0.500 0.500
Mn 0.000 0.000 0.000
Se 0.750 0.750 0.750
```

Material: GdHoCo
Method: DFT, PBE
State: optimized geometry Values from VASP.

Summary:
The calculation puts the energy above the most stable polymorph in this dataset at 43 meV/atom. As for the total energy: -25.96 eV per cell. For the volume, the calculation gives 26.8 Å³/atom.

The structure in Quantum ESPRESSO input format:
```
&SYSTEM
  ibrav = 0, nat = 3, ntyp = 3
/
ATOMIC_SPECIES
Co 58.93 Co.upf
Gd 157.25 Gd.upf
Ho 164.93 Ho.upf
CELL_PARAMETERS angstrom
-3.635 1.294 0.350
1.061 -3.292 1.745
1.620 3.189 5.033
ATOMIC_POSITIONS crystal
Co 0.667 0.333 0.333
Gd 0.333 0.667 0.566
Ho 0.000 0.000 0.101
```

Material: Er4Tl3Co
Method: DFT, PBE
State: optimized geometry Values from VASP.

Summary:
As for the total energy: -34.75 eV per cell. For the volume, the calculation gives 24.6 Å³/atom.

The structure in Quantum ESPRESSO input format:
```
&SYSTEM
  ibrav = 0, nat = 8, ntyp = 3
/
ATOMIC_SPECIES
Er 167.26 Er.upf
Tl 204.38 Tl.upf
Co 58.93 Co.upf
CELL_PARAMETERS angstrom
-0.612 -3.332 -0.970
-0.143 -0.960 3.387
-15.592 2.823 0.142
ATOMIC_POSITIONS crystal
Er 0.000 0.000 0.900
Tl 0.500 0.500 0.765
Er 0.000 0.000 0.366
Er 0.000 0.000 0.100
Er 0.000 0.000 0.634
Co 0.500 0.500 0.000
Tl 0.500 0.500 0.500
Tl 0.500 0.500 0.235
```

Material: HoIn3Te6
Method: DFT, PBE
State: optimized geometry Values from VASP.

Summary:
Its uncorrected formation energy is -0.49 eV/atom. As for the total energy: -73.15 eV per cell. For the volume, the calculation gives 32.1 Å³/atom.

The structure in Quantum ESPRESSO input format:
```
&SYSTEM
  ibrav = 0, nat = 20, ntyp = 3
/
ATOMIC_SPECIES
In 114.82 In.upf
Te 127.60 Te.upf
Ho 164.93 Ho.upf
CELL_PARAMETERS angstrom
-2.026 -3.813 0.763
11.341 -5.478 2.740
-5.105 4.715 10.009
ATOMIC_POSITIONS crystal
In 0.250 0.831 0.901
In 0.250 0.298 0.528
Te 0.750 0.807 0.729
Te 0.750 0.932 0.095
Te 0.750 0.756 0.262
In 0.750 0.169 0.099
Ho 0.750 0.050 0.704
Ho 0.250 0.950 0.296
Te 0.250 0.907 0.537
In 0.750 0.702 0.472
Te 0.750 0.395 0.062
Te 0.750 0.459 0.607
In 0.750 0.439 0.837
Te 0.250 0.244 0.738
Te 0.250 0.605 0.938
In 0.250 0.561 0.163
Te 0.250 0.193 0.271
Te 0.750 0.093 0.463
Te 0.250 0.068 0.905
Te 0.250 0.541 0.393
```

Material: Si2NiAg
Method: DFT, PBE
State: optimized geometry Values from VASP.

Summary:
The calculation puts the energy above the most stable polymorph in this dataset at 323 meV/atom. Its uncorrected formation energy is 0.31 eV/atom. As for the total energy: -18.25 eV per cell. For the volume, the calculation gives 14.6 Å³/atom.

The structure in Quantum ESPRESSO input format:
```
&SYSTEM
  ibrav = 0, nat = 4, ntyp = 3
/
ATOMIC_SPECIES
Si 28.09 Si.upf
Ni 58.69 Ni.upf
Ag 107.87 Ag.upf
CELL_PARAMETERS angstrom
4.352 0.000 0.000
0.000 4.352 0.000
0.000 0.000 3.079
ATOMIC_POSITIONS crystal
Si 0.000 0.000 0.000
Si 0.500 0.500 0.000
Ni 0.000 0.500 0.500
Ag 0.500 0.000 0.500
```